Density functional theory data (PBE) for Ac5TmPb6 after structural relaxation.

Cell: 9.8149 6.3924 8.3580 Å, 67.52 80.39 64.11°
With the nearest neighbours (Å) after each atom.
Atoms (fractional coordinates):
Pb1 0.2336 0.9425 0.6834  1 Tm 3.22, 5 Ac 3.46-3.54
Pb2 0.7664 0.0575 0.3166  1 Tm 3.22, 5 Ac 3.46-3.54
Pb3 0.2581 0.1817 0.0000  1 Tm 3.21, 4 Ac 3.45-3.50
Pb4 0.7419 0.8183 0.0000  1 Tm 3.21, 4 Ac 3.45-3.50
Pb5 0.7664 0.3741 0.6834  1 Tm 3.22, 5 Ac 3.46-3.54
Pb6 0.2336 0.6259 0.3166  1 Tm 3.22, 5 Ac 3.46-3.54
Ac1 0.0000 0.6569 0.6861  6 Pb 3.45-3.54
Ac2 0.5000 0.5000 0.0000  6 Pb 3.46-3.74
Ac3 0.5000 0.1796 0.6409  6 Pb 3.46-3.50, 2 Ac 3.87
Ac4 0.0000 0.3431 0.3139  6 Pb 3.45-3.54
Ac5 0.5000 0.8204 0.3591  6 Pb 3.46-3.50, 2 Ac 3.87
Tm1 0.0000 0.0000 0.0000  6 Pb 3.21-3.22

## Properties
Theoretical density   9.7 g/cm3
Space group   C2/m, No. 12
ΔE_f   -5.38 eV/f.u.